Entry 1:
AsPdSe2Br: optimized geometry, PBE.

Properties
**Raw formation energy**: 522 meV/atom
**E above lowest polymorph**: 0.026 eV per atom
**M_tot**: 0.00 μB/atom
**Calculated total energy**: -3.17 eV/atom

Lattice parameters (Å, degrees): 4.9755 4.9755 4.9705 90.00 90.00 90.00
Positions (direct):
Se 0.0000 0.5000 0.0000
Se 0.5000 0.0000 0.0000
Br 0.5000 0.5000 0.5000
As 0.0000 0.0000 0.5000
Pd 0.0000 0.0000 0.0000

=====

Entry 2:
K2NbRh: optimized geometry, PBE.

Properties
**E above lowest polymorph**: 0.000 eV per atom
**Energy relative to the elements**: 1030 meV per atom
**M_tot**: 0.73 μB/atom
**Calculated total energy**: -3.87 eV/atom

Lattice parameters (Å, degrees): 12.3223 12.3223 9.0330 46.99 46.99 90.00
Positions (direct):
K 0.3750 0.2154 0.7500
K 0.8750 0.0346 0.7500
K 0.9654 0.6250 0.2500
K 0.7846 0.1250 0.2500
Nb 0.5000 0.5000 0.0000
Nb 0.2500 0.7500 0.5000
Rh 0.7500 0.2500 0.5000
Rh 0.0000 0.0000 0.0000

=====

Question: What is the formula in the second record?
Answer: K2NbRh

=====

Question: Which value of E above lowest polymorph does entry 1 give?
Answer: 0.026 eV per atom

=====

Repeat the second record exactly.
K2NbRh: optimized geometry, PBE.

Properties
**E above lowest polymorph**: 0.000 eV per atom
**Energy relative to the elements**: 1030 meV per atom
**M_tot**: 0.73 μB/atom
**Calculated total energy**: -3.87 eV/atom

Lattice parameters (Å, degrees): 12.3223 12.3223 9.0330 46.99 46.99 90.00
Positions (direct):
K 0.3750 0.2154 0.7500
K 0.8750 0.0346 0.7500
K 0.9654 0.6250 0.2500
K 0.7846 0.1250 0.2500
Nb 0.5000 0.5000 0.0000
Nb 0.2500 0.7500 0.5000
Rh 0.7500 0.2500 0.5000
Rh 0.0000 0.0000 0.0000